The following is a PBE calculation of a relaxed structure of PmTeRuO6, from Alexandria via LeMat-Bulk.

Properties
The final energy is -118.7 eV for the cell shown. The density of states at the Fermi level is 0.466 states/eV/atom. For the density, the calculation gives 6.8 Mg/m³.

a = 5.567 Å, b = 5.567 Å, c = 8.536 Å
α = 90.00°, β = 90.00°, γ = 120.00°
Each line ends with the local moment (μB).
Atoms (fractional coordinates):
Pm: 0.333 0.667 0.250  0.00
Pm: 0.667 0.333 0.750  0.00
Te: 0.667 0.333 0.250  -0.02
Te: 0.333 0.667 0.750  -0.02
Ru: 0.000 0.000 0.000  0.77
Ru: 0.000 0.000 0.500  0.77
O: 0.696 0.651 0.120  0.03
O: 0.955 0.304 0.120  0.03
O: 0.304 0.955 0.620  0.03
O: 0.045 0.696 0.880  0.03
O: 0.349 0.304 0.380  0.03
O: 0.955 0.651 0.380  0.03
O: 0.651 0.955 0.880  0.03
O: 0.696 0.045 0.380  0.03
O: 0.045 0.349 0.620  0.03
O: 0.349 0.045 0.120  0.03
O: 0.651 0.696 0.620  0.03
O: 0.304 0.349 0.880  0.03

---

The following is a PBE calculation of a relaxed structure of MnMoCl2, from Alexandria via LeMat-Bulk.

Properties
The density of states at the Fermi level is 0.663 states/eV/atom. For the density, the calculation gives 4.7 Mg/m³. Its relative energy among the computed polymorphs is 0.502 eV per atom.

a = 9.660 Å, b = 9.660 Å, c = 9.660 Å
α = 18.40°, β = 18.40°, γ = 18.40°
Each line ends with the local moment (μB).
Atoms (fractional coordinates):
Mo: 0.750 0.750 0.750  0.03
Mn: 0.250 0.250 0.250  4.13
Cl: 0.022 0.022 0.022  0.01
Cl: 0.478 0.478 0.478  0.01

---

The following is a PBE calculation of a relaxed structure of Li6NdSn6, from Alexandria via LeMat-Bulk.

Properties
The density of states at the Fermi level is 0.384 states/eV/atom. As for the formation energy: -0.391 eV per atom. For the density, the calculation gives 5.4 Mg/m³. Its relative energy among the computed polymorphs is 0.000 eV per atom.

a = 5.817 Å, b = 7.465 Å, c = 7.465 Å
α = 78.77°, β = 67.07°, γ = 67.07°
Atoms (fractional coordinates):
Li: 0.000 0.500 0.000
Li: 0.500 0.500 0.000
Li: 0.000 0.000 0.500
Li: 0.500 0.000 0.500
Li: 0.500 0.751 0.249
Li: 0.500 0.249 0.751
Nd: 0.000 0.000 0.000
Sn: 0.337 0.663 0.663
Sn: 0.663 0.337 0.337
Sn: 0.000 0.348 0.652
Sn: 0.000 0.652 0.348
Sn: 0.333 0.167 0.167
Sn: 0.667 0.833 0.833

---

The following is a PBE calculation of a relaxed structure of ReRu2Br, from Alexandria via LeMat-Bulk.

Properties
The density of states at the Fermi level is 1.064 states/eV/atom. For the density, the calculation gives 12.5 Mg/m³. Its relative energy among the computed polymorphs is 0.270 eV per atom.

a = 3.942 Å, b = 2.897 Å, c = 5.698 Å
α = 72.25°, β = 90.00°, γ = 90.00°
Atoms (fractional coordinates):
Re: 0.500 0.750 0.750
Br: 0.500 0.250 0.250
Ru: 0.000 0.118 0.986
Ru: 0.000 0.382 0.514

---

The following is a PBE calculation of a relaxed structure of Zn4TeAs, from Alexandria via LeMat-Bulk.

Properties
The final energy is -11.3 eV for the cell shown. The density of states at the Fermi level is 0.772 states/eV/atom. For the density, the calculation gives 6.9 Mg/m³.

a = 5.410 Å, b = 5.410 Å, c = 5.410 Å
α = 60.00°, β = 60.00°, γ = 60.00°
Atoms (fractional coordinates):
Zn: 0.873 0.376 0.376
Zn: 0.376 0.376 0.873
Zn: 0.376 0.873 0.376
Zn: 0.376 0.376 0.376
Te: 0.000 0.000 0.000
As: 0.750 0.750 0.750

---

The following is a PBE calculation of a relaxed structure of LiGdYLu, from Alexandria via LeMat-Bulk.

Properties
The density of states at the Fermi level is 0.880 states/eV/atom. As for the formation energy: 0.155 eV per atom. For the density, the calculation gives 6.2 Mg/m³.

a = 5.451 Å, b = 5.451 Å, c = 5.451 Å
α = 60.00°, β = 60.00°, γ = 60.00°
Each line ends with the local moment (μB).
Atoms (fractional coordinates):
Gd: 0.250 0.250 0.250  -7.12
Y: 0.750 0.750 0.750  0.02
Lu: 0.000 0.000 0.000  0.00
Li: 0.500 0.500 0.500  0.00

---

The following is a PBE calculation of a relaxed structure of SrHgP2, from Alexandria via LeMat-Bulk.

Properties
The density of states at the Fermi level is 0.218 states/eV/atom. As for the formation energy: -0.367 eV per atom. For the density, the calculation gives 6.0 Mg/m³.

a = 6.010 Å, b = 6.010 Å, c = 6.010 Å
α = 144.17°, β = 129.62°, γ = 63.36°
Atoms (fractional coordinates):
Hg: 0.217 0.717 0.500
P: 0.957 0.957 0.000
P: 0.820 0.320 0.500
Sr: 0.506 0.506 0.000

---

The following is a PBE calculation of a relaxed structure of Li2CdIr, from Alexandria via LeMat-Bulk.

Properties
The density of states at the Fermi level is 0.380 states/eV/atom. As for the formation energy: -0.060 eV per atom. For the density, the calculation gives 8.4 Mg/m³.

a = 4.868 Å, b = 4.868 Å, c = 5.021 Å
α = 84.49°, β = 84.49°, γ = 31.97°
Atoms (fractional coordinates):
Cd: 0.504 0.504 0.501
Ir: 0.250 0.250 0.232
Li: 0.992 0.992 0.017
Li: 0.754 0.754 0.751

---

The following is a PBE calculation of a relaxed structure of NdY6Tm2, from Alexandria via LeMat-Bulk.

Properties
The density of states at the Fermi level is 1.792 states/eV/atom. As for the formation energy: 0.072 eV per atom. For the density, the calculation gives 5.8 Mg/m³. Its relative energy among the computed polymorphs is 0.009 eV per atom.

a = 5.709 Å, b = 11.856 Å, c = 11.856 Å
α = 48.21°, β = 103.91°, γ = 103.91°
Atoms (fractional coordinates):
Nd: 0.250 0.250 0.750
Nd: 0.750 0.750 0.250
Y: 0.809 0.503 0.668
Y: 0.691 0.332 0.497
Y: 0.191 0.497 0.332
Y: 0.309 0.668 0.503
Y: 0.917 0.917 0.418
Y: 0.583 0.582 0.083
Y: 0.083 0.083 0.582
Y: 0.417 0.418 0.917
Y: 0.139 0.832 0.997
Y: 0.361 0.003 0.168
Y: 0.861 0.168 0.003
Y: 0.639 0.997 0.832
Tm: 0.030 0.667 0.832
Tm: 0.470 0.168 0.333
Tm: 0.970 0.333 0.168
Tm: 0.530 0.832 0.667

---

> What is the density in the ninth record?

5.8 Mg/m³